Record 1
Material: VAs3Se
Method: DFT, PBE
State: relaxed

## Properties
Electronic total energy ... -5.029 eV/atom
Formation energy from raw total energies ... 0.2817 eV/atom
Crystal system ... cubic
DOS at the Fermi energy ... 4.1 states/eV per cell
Relative energy among the computed polymorphs ... 0.000 eV/atom

Cell and atoms, written as POSCAR:
```
VAs3Se
1.0
4.737 0.000 0.000
0.000 4.737 0.000
0.000 0.000 4.737
V As Se
1 3 1
Cartesian
0.000 0.000 0.000
0.000 0.000 2.368
0.000 2.368 0.000
2.368 0.000 0.000
2.368 2.368 2.368
```



Record 2
Material: VAs2Se
Method: DFT, PBE
State: relaxed

## Properties
Electronic total energy ... -5.171 eV/atom
Formation energy from raw total energies ... 0.3044 eV/atom
Crystal system ... tetragonal
DOS at the Fermi energy ... 15.8 states/eV per cell

Cell and atoms, written as POSCAR:
```
VAs2Se
1.0
5.804 0.000 0.000
0.000 5.804 0.000
0.000 0.000 11.933
V As Se
4 8 4
Cartesian
0.000 0.000 0.000
0.000 2.902 2.983
2.902 0.000 8.950
2.902 2.902 5.967
1.201 1.451 1.492
1.451 4.103 4.475
1.451 4.603 10.441
1.701 1.451 7.458
4.103 4.353 7.458
4.353 1.201 10.441
4.353 1.701 4.475
4.603 4.353 1.492
0.000 0.000 5.967
0.000 2.902 8.950
2.902 0.000 2.983
2.902 2.902 0.000
```